VASP calculation (GGA-PBE) on a relaxed structure of Y4In5Hg2.

Geometry as POSCAR:
```
Y4In5Hg2
1.0
7.928 0.000 0.000
0.000 3.565 0.000
-0.860 0.000 10.101
Y In Hg
4 5 2
Direct
0.178 0.000 0.384
0.266 0.000 0.939
0.734 0.000 0.061
0.822 0.000 0.616
0.182 0.500 0.658
0.449 0.500 0.195
0.500 0.500 0.500
0.551 0.500 0.805
0.818 0.500 0.342
0.068 0.500 0.138
0.932 0.500 0.862
```

Properties
**Formation energy from the elements**: -9.93 kcal/mol of atoms
**Space group**: No. 10
**Total energy**: -4.0809 eV per atom
**Mass density**: 7.74 g/cm3